Record 1
The following is a PBE calculation of an optimized crystal structure of PmPrY14, from Alexandria via LeMat-Bulk. Values from VASP.

Geometry as Quantum ESPRESSO input:
```
&SYSTEM
  ibrav = 0, nat = 16, ntyp = 3
/
ATOMIC_SPECIES
Pm 145.00 Pm.upf
Pr 140.91 Pr.upf
Y 88.91 Y.upf
CELL_PARAMETERS angstrom
7.113 0.954 0.000
-0.954 7.113 0.000
0.000 0.000 10.120
ATOMIC_POSITIONS crystal
Pm 0.375 0.625 0.000
Pr 0.875 0.125 0.000
Y 0.375 0.625 0.500
Y 0.875 0.125 0.500
Y 0.875 0.625 0.000
Y 0.875 0.625 0.500
Y 0.375 0.125 0.000
Y 0.375 0.125 0.500
Y 0.625 0.875 0.748
Y 0.625 0.875 0.252
Y 0.125 0.375 0.748
Y 0.125 0.375 0.252
Y 0.125 0.875 0.748
Y 0.125 0.875 0.252
Y 0.625 0.375 0.748
Y 0.625 0.375 0.252
```

## Properties
Energy of formation: 0.02 eV/atom
Crystal system: tetragonal
E: -6.231 eV per atom
Theoretical density: 4.88 Mg/m³
Density of states at the Fermi level: 22.4 states/eV per cell

Record 2
The following is a PBE calculation of an optimized crystal structure of Pm6PrY, from Alexandria via LeMat-Bulk. Values from VASP.

Geometry as Quantum ESPRESSO input:
```
&SYSTEM
  ibrav = 0, nat = 8, ntyp = 3
/
ATOMIC_SPECIES
Pm 145.00 Pm.upf
Pr 140.91 Pr.upf
Y 88.91 Y.upf
CELL_PARAMETERS angstrom
-1.024 4.230 -2.773
-4.443 -2.104 -1.570
-4.832 4.150 8.114
ATOMIC_POSITIONS crystal
Pm 0.500 0.500 0.000
Pm 0.500 0.500 0.500
Pm 0.500 0.000 0.252
Pm 0.500 0.000 0.748
Pm 0.000 0.500 0.252
Pm 0.000 0.500 0.748
Pr 0.000 0.000 0.000
Y 0.000 0.000 0.500
```

## Properties
Energy of formation: 0.02 eV/atom
Crystal system: tetragonal
E: -4.952 eV per atom
Theoretical density: 6.65 Mg/m³
Density of states at the Fermi level: 13.5 states/eV per cell
Offset from the most stable computed form: 4 meV per atom

Record 3
The following is a PBE calculation of an optimized crystal structure of Pm3Pr2Y4, from Alexandria via LeMat-Bulk. Values from VASP.

Geometry as Quantum ESPRESSO input:
```
&SYSTEM
  ibrav = 0, nat = 9, ntyp = 3
/
ATOMIC_SPECIES
Pm 145.00 Pm.upf
Pr 140.91 Pr.upf
Y 88.91 Y.upf
CELL_PARAMETERS angstrom
-3.558 -1.830 3.215
5.418 -5.209 3.032
2.120 7.440 2.484
ATOMIC_POSITIONS crystal
Pm 0.889 0.334 0.778
Pm 0.111 0.666 0.222
Pm 0.000 0.000 0.000
Pr 0.334 0.000 0.667
Pr 0.666 0.000 0.333
Y 0.556 0.335 0.113
Y 0.778 0.665 0.556
Y 0.444 0.665 0.887
Y 0.222 0.335 0.444
```

## Properties
Energy of formation: 0.02 eV/atom
Crystal system: monoclinic
E: -5.501 eV per atom
Theoretical density: 5.85 Mg/m³
Density of states at the Fermi level: 13.8 states/eV per cell

Record 4
The following is a PBE calculation of an optimized crystal structure of Pm15Pr4Y, from Alexandria via LeMat-Bulk. Values from VASP.

Geometry as Quantum ESPRESSO input:
```
&SYSTEM
  ibrav = 0, nat = 20, ntyp = 3
/
ATOMIC_SPECIES
Pm 145.00 Pm.upf
Pr 140.91 Pr.upf
Y 88.91 Y.upf
CELL_PARAMETERS angstrom
5.182 0.000 0.000
0.000 5.182 0.000
0.000 0.000 25.866
ATOMIC_POSITIONS crystal
Pm 0.500 0.500 0.000
Pm 0.500 0.500 0.199
Pm 0.500 0.500 0.400
Pm 0.500 0.500 0.600
Pm 0.500 0.500 0.801
Pm 0.500 0.000 0.099
Pm 0.500 0.000 0.299
Pm 0.500 0.000 0.500
Pm 0.500 0.000 0.701
Pm 0.500 0.000 0.901
Pm 0.000 0.500 0.099
Pm 0.000 0.500 0.299
Pm 0.000 0.500 0.500
Pm 0.000 0.500 0.701
Pm 0.000 0.500 0.901
Pr 0.000 0.000 0.199
Pr 0.000 0.000 0.400
Pr 0.000 0.000 0.600
Pr 0.000 0.000 0.801
Y 0.000 0.000 0.000
```

## Properties
Energy of formation: 0.01 eV/atom
Crystal system: tetragonal
E: -4.827 eV per atom
Theoretical density: 6.76 Mg/m³
Density of states at the Fermi level: 29.3 states/eV per cell